Entry 1:
# KBeTl | Alexandria | meta-GGA SCAN | PBEsol geometry
data_KBeTl
_chemical_formula_sum 'K4 Be4 Tl4'
_cell_length_a 7.166
_cell_length_b 7.166
_cell_length_c 7.166
_cell_angle_alpha 90.00
_cell_angle_beta 90.00
_cell_angle_gamma 90.00
_space_group_name_H-M_alt 'F -4 3 m'
_space_group_IT_number 216
_space_group_name_Hall 'F -4 2 3'
loop_
_atom_site_label
_atom_site_fract_x
_atom_site_fract_y
_atom_site_fract_z
K1 0.000 0.000 0.000
Be1 0.000 0.000 0.500
Tl1 0.250 0.250 0.750
# - ΔE to the lowest computed polymorph (eV per formula unit) = 1.34
# - ρ (g/cm3) = 4.6
# - size of the total moment (μB per formula unit) = 0.00

---

Entry 2:
# K2BeTl | Alexandria | meta-GGA SCAN | PBEsol geometry
data_K2BeTl
_chemical_formula_sum 'K4 Be2 Tl2'
_cell_length_a 4.572
_cell_length_b 6.128
_cell_length_c 10.213
_cell_angle_alpha 90.00
_cell_angle_beta 90.00
_cell_angle_gamma 90.00
_space_group_name_H-M_alt 'I m m 2'
_space_group_IT_number 44
loop_
_space_group_symop_operation_xyz
'x,y,z'
'-x,-y,z'
'-x,y,z'
'x,-y,z'
'x+1/2,y+1/2,z+1/2'
'-x+1/2,-y+1/2,z+1/2'
'-x+1/2,y+1/2,z+1/2'
'x+1/2,-y+1/2,z+1/2'
loop_
_atom_site_label
_atom_site_fract_x
_atom_site_fract_y
_atom_site_fract_z
K1 0.000 0.000 0.000
K2 0.000 0.500 0.181
Be1 0.000 0.000 0.341
Tl1 0.000 0.500 0.810
# - ΔE to the lowest computed polymorph (eV per formula unit) = 0.13
# - ρ (g/cm3) = 3.4
# - size of the total moment (μB per formula unit) = 0.00

---

Entry 3:
# KBeTl2 | Alexandria | meta-GGA SCAN | PBEsol geometry
data_KBeTl2
_chemical_formula_sum 'K1 Be1 Tl2'
_cell_length_a 4.806
_cell_length_b 4.806
_cell_length_c 4.505
_cell_angle_alpha 90.00
_cell_angle_beta 90.00
_cell_angle_gamma 90.00
_space_group_name_H-M_alt 'P 4/m m m'
_space_group_IT_number 123
_space_group_name_Hall '-P 4 2'
loop_
_atom_site_label
_atom_site_fract_x
_atom_site_fract_y
_atom_site_fract_z
K1 0.000 0.000 0.000
Be1 0.500 0.500 0.000
Tl1 0.000 0.500 0.500
# - ΔE to the lowest computed polymorph (eV per formula unit) = 0.89
# - ρ (g/cm3) = 7.3
# - size of the total moment (μB per formula unit) = 0.00